Entry 1:
Compound: LaOsN2O
Source: Alexandria via LeMat-Bulk
Functional: PBE
Structure: relaxed Values from VASP.

```
&SYSTEM
  ibrav = 0, nat = 5, ntyp = 4
/
ATOMIC_SPECIES
O 16.00 O.upf
N 14.01 N.upf
La 138.91 La.upf
Os 190.23 Os.upf
ATOMIC_POSITIONS crystal
O 0.0000 0.0000 0.5000
N 0.5000 0.0000 0.0000
N 0.0000 0.5000 0.0000
La 0.0000 0.0000 0.0000
Os 0.5000 0.5000 0.5000
CELL_PARAMETERS angstrom
4.3546 0.0000 0.0000
0.0000 4.3546 0.0000
0.0000 0.0000 4.4240
```

Results
For the total energy, the calculation gives -5.9214 eV per atom. Its space group is P4/mmm (123). The raw formation energy is 37.6 kcal/mol of atoms.

Entry 2:
Compound: LaOsN2O
Source: Alexandria via LeMat-Bulk
Functional: PBE
Structure: relaxed Values from VASP.

```
&SYSTEM
  ibrav = 0, nat = 5, ntyp = 4
/
ATOMIC_SPECIES
La 138.91 La.upf
N 14.01 N.upf
O 16.00 O.upf
Os 190.23 Os.upf
ATOMIC_POSITIONS crystal
La 0.5000 0.5000 0.5000
N 0.5000 0.0000 0.0000
N 0.0000 0.5000 0.0000
O 0.0000 0.0000 0.5000
Os 0.0000 0.0000 0.0000
CELL_PARAMETERS angstrom
-2.1079 2.4122 2.2038
1.4411 -1.6673 3.2034
3.1505 2.7434 0.0106
```

Results
For the total energy, the calculation gives -8.4537 eV per atom. Its space group is P4/mmm (123). The raw formation energy is -20.8 kcal/mol of atoms.

Entry 3:
Compound: LaOsNO2
Source: Alexandria via LeMat-Bulk
Functional: PBE
Structure: relaxed Values from VASP.

```
&SYSTEM
  ibrav = 0, nat = 5, ntyp = 4
/
ATOMIC_SPECIES
La 138.91 La.upf
O 16.00 O.upf
N 14.01 N.upf
Os 190.23 Os.upf
ATOMIC_POSITIONS crystal
La 0.5000 0.5000 0.5000
O 0.0000 0.5000 0.0000
O 0.5000 0.0000 0.0000
N 0.0000 0.0000 0.5000
Os 0.0000 0.0000 0.0000
CELL_PARAMETERS angstrom
-0.2388 4.0307 0.7790
-3.6795 -0.5562 1.7499
1.6801 -0.5495 3.3581
```

Results
For the total energy, the calculation gives -8.2560 eV per atom. Its space group is P4/mmm (123). The raw formation energy is -31.7 kcal/mol of atoms.

- raw formation energy of number 1 (LaOsN2O)?
  37.6 kcal/mol of atoms